Record 1
# MgV3Te, optimized geometry, DFT PBE
data_MgV3Te
_chemical_formula_sum 'Mg1 V3 Te1'
_symmetry_space_group_name_H-M 'P m -3 m'
_symmetry_Int_Tables_number 221
_symmetry_space_group_name_Hall '-P 4 2 3'
_cell_length_a 4.900
_cell_length_b 4.900
_cell_length_c 4.900
_cell_angle_alpha 90.00
_cell_angle_beta 90.00
_cell_angle_gamma 90.00
loop_
_atom_site_label
_atom_site_type_symbol
_atom_site_fract_x
_atom_site_fract_y
_atom_site_fract_z
Mg1 Mg 0.000 0.000 0.000
V1 V 0.000 0.500 0.500
Te1 Te 0.500 0.500 0.500
# VASP energy	-5.281	eV/atom
# raw formation energy	549	kJ/mol of formula units
# V	23.5	A^3/atom
# energy above the lowest structure with this stoichiometry	0.0	meV per atom

Record 2
# Mg3VTe, optimized geometry, DFT PBE
data_Mg3VTe
_chemical_formula_sum 'Mg3 V1 Te1'
_symmetry_space_group_name_H-M 'P m -3 m'
_symmetry_Int_Tables_number 221
_symmetry_space_group_name_Hall '-P 4 2 3'
_cell_length_a 5.398
_cell_length_b 5.398
_cell_length_c 5.398
_cell_angle_alpha 90.00
_cell_angle_beta 90.00
_cell_angle_gamma 90.00
loop_
_atom_site_label
_atom_site_type_symbol
_atom_site_fract_x
_atom_site_fract_y
_atom_site_fract_z
Mg1 Mg 0.000 0.000 0.500
V1 V 0.500 0.500 0.500
Te1 Te 0.000 0.000 0.000
# VASP energy	-2.568	eV/atom
# raw formation energy	406	kJ/mol of formula units
# V	31.5	A^3/atom
# energy above the lowest structure with this stoichiometry	77.4	meV per atom

Record 3
# MgVTe3, optimized geometry, DFT PBE
data_MgVTe3
_chemical_formula_sum 'Mg1 V1 Te3'
_symmetry_space_group_name_H-M 'P m -3 m'
_symmetry_Int_Tables_number 221
_symmetry_space_group_name_Hall '-P 4 2 3'
_cell_length_a 5.404
_cell_length_b 5.404
_cell_length_c 5.404
_cell_angle_alpha 90.00
_cell_angle_beta 90.00
_cell_angle_gamma 90.00
loop_
_atom_site_label
_atom_site_type_symbol
_atom_site_fract_x
_atom_site_fract_y
_atom_site_fract_z
Mg1 Mg 0.000 0.000 0.000
V1 V 0.500 0.500 0.500
Te1 Te 0.000 0.000 0.500
# VASP energy	-3.446	eV/atom
# raw formation energy	281	kJ/mol of formula units
# V	31.6	A^3/atom
# energy above the lowest structure with this stoichiometry	459.6	meV per atom

Record 4
# MgVTe3, optimized geometry, DFT PBE
data_MgVTe3
_chemical_formula_sum 'Mg1 V1 Te3'
_symmetry_space_group_name_H-M 'P m -3 m'
_symmetry_Int_Tables_number 221
_symmetry_space_group_name_Hall '-P 4 2 3'
_cell_length_a 5.291
_cell_length_b 5.291
_cell_length_c 5.291
_cell_angle_alpha 90.00
_cell_angle_beta 90.00
_cell_angle_gamma 90.00
loop_
_atom_site_label
_atom_site_type_symbol
_atom_site_fract_x
_atom_site_fract_y
_atom_site_fract_z
Mg1 Mg 0.000 0.000 0.000
V1 V 0.500 0.500 0.500
Te1 Te 0.000 0.500 0.500
# VASP energy	-3.906	eV/atom
# raw formation energy	59	kJ/mol of formula units
# V	29.6	A^3/atom
# energy above the lowest structure with this stoichiometry	0.0	meV per atom

Record 5
# Mg3VTe, optimized geometry, DFT PBE
data_Mg3VTe
_chemical_formula_sum 'Mg3 V1 Te1'
_symmetry_space_group_name_H-M 'P m -3 m'
_symmetry_Int_Tables_number 221
_symmetry_space_group_name_Hall '-P 4 2 3'
_cell_length_a 5.264
_cell_length_b 5.264
_cell_length_c 5.264
_cell_angle_alpha 90.00
_cell_angle_beta 90.00
_cell_angle_gamma 90.00
loop_
_atom_site_label
_atom_site_type_symbol
_atom_site_fract_x
_atom_site_fract_y
_atom_site_fract_z
Mg1 Mg 0.000 0.000 0.500
V1 V 0.000 0.000 0.000
Te1 Te 0.500 0.500 0.500
# VASP energy	-2.645	eV/atom
# raw formation energy	368	kJ/mol of formula units
# V	29.2	A^3/atom
# energy above the lowest structure with this stoichiometry	0.0	meV per atom

Record 6
# Mg2VTe, optimized geometry, DFT PBE
data_Mg2VTe
_chemical_formula_sum 'Mg8 V4 Te4'
_symmetry_space_group_name_H-M 'I -4 2 d'
_symmetry_Int_Tables_number 122
_symmetry_space_group_name_Hall 'I -4 2bw'
_cell_length_a 8.237
_cell_length_b 8.237
_cell_length_c 5.702
_cell_angle_alpha 90.00
_cell_angle_beta 90.00
_cell_angle_gamma 90.00
loop_
_atom_site_label
_atom_site_type_symbol
_atom_site_fract_x
_atom_site_fract_y
_atom_site_fract_z
Mg1 Mg 0.235 0.750 0.125
V1 V 0.000 0.000 0.500
Te1 Te 0.000 0.000 0.000
# VASP energy	-3.561	eV/atom
# raw formation energy	116	kJ/mol of formula units
# V	24.2	A^3/atom

Which of these has the highest VASP energy? number 2

Look up the VASP energy of the third one. -3.446 eV/atom

raw formation energy of number 1 (MgV3Te)? 549 kJ/mol of formula units